HfAgIN2 | PBE | relaxed

Its size of the total moment is 0.049 μB/atom. As for the distance to the lowest polymorph of the same formula: 0.0 meV/atom. For the formation energy (no corrections), the calculation gives 0.299 eV per atom. The calculation puts the final energy at -5.903 eV per atom.

The space group is P4/mmm (No. 123) and the conventional cell measures 4.145, 4.145 and 6.217 Å, with angles of 90.00, 90.00 and 90.00 degrees. Symmetry generates all atoms from Hf at (0.000, 0.000, 0.000), Ag at (0.500, 0.500, 0.500), I at (0.000, 0.000, 0.500) and N at (0.000, 0.500, 0.000).